A plane-wave DFT calculation with PBE was carried out for a geometry-optimized Ag15Hg2Au2 structure.

Structure (extended XYZ):
```
19
Lattice="7.104 -0.618 1.735 1.214 7.027 1.735 -0.803 -0.618 7.268" Properties=species:S:1:pos:R:3 pbc="T T T"
Ag 0.607 3.513 0.868
Ag -0.401 -0.309 3.634
Ag 3.552 -0.309 0.868
Ag 1.948 -0.618 5.343
Ag 5.055 2.041 1.735
Ag 0.513 4.367 3.660
Ag 3.263 4.367 1.735
Ag -0.101 2.041 5.343
Ag 4.353 -0.618 3.660
Ag 3.082 5.353 4.404
Ag 2.095 1.614 7.110
Ag 5.963 1.614 4.404
Ag 4.434 0.436 6.335
Ag 5.420 4.176 3.628
Ag 1.553 4.176 6.335
Hg 6.717 5.174 9.597
Hg 0.799 0.615 1.141
Au 4.538 3.496 6.484
Au 2.978 2.294 4.255
```

* ΔH_f (0 K): 0.1518 eV/atom
* V: 20.275 Å³ per atom
* D(E_F): 6.30 states/eV per cell